The following is a PBE calculation of a relaxed structure of MgTa2Hg, from Alexandria via LeMat-Bulk.

```
4
Lattice="-2.4662 1.5287 0.2500 -2.4573 -3.9104 -0.3298 0.1969 -0.5935 5.5702" Properties=species:S:1:pos:R:3 pbc="T T T"
Hg -2.4125 -1.3392 1.3527
Mg -2.3141 -1.6360 4.1378
Ta 0.1957 -0.5900 5.5373
Ta 0.0996 -0.3003 2.8181
```

## Properties
E_form (eV per atom): 0.3213
Space-group type: Pmmm, No. 47
Energy relative to the lowest polymorph listed for this composition (meV per atom): 193.8